PBE CeCoIr, optimized geometry; space-group type = Fddd (70); total energy = -7.41 eV per atom; total magnetization = 0.1 μB per formula unit
1.0
7.2145 -1.1975 0.0000
-3.8458 6.2203 0.0000
-1.6843 -2.5114 5.5892
Ce Co Ir
4 4 4
Direct
0.6250 0.3750 0.2500
0.1250 0.3750 0.7500
0.6250 0.3750 0.7500
0.6250 0.8750 0.2500
0.0869 0.9131 0.5000
0.8369 0.1631 0.0000
0.4131 0.5869 0.5000
0.1631 0.8369 0.0000
0.1333 0.6333 0.2666
0.1167 0.1167 0.2334
0.8833 0.8833 0.7666
0.3667 0.8667 0.7334